A relaxed RbTaB2 crystal, computed with PBE.

## Properties
E_tot in eV/atom: -4.405
Relative energy among the computed polymorphs in eV/atom: 0.9571
DOS at the Fermi energy in states/eV per atom: 1.45
E_form in eV per atom: 2.139
SG: Fm-3m, No. 225

a b c (Å): 4.4756 4.4756 4.4756
angles (deg): 60.00 60.00 60.00
Last column: nearest neighbours and their distance in Å.
Fractional positions:
B 0.2500 0.2500 0.2500  4 Ta 2.74, 4 Rb 2.74
B 0.7500 0.7500 0.7500  4 Ta 2.74, 4 Rb 2.74
Rb 0.0000 0.0000 0.0000  8 B 2.74
Ta 0.5000 0.5000 0.5000  8 B 2.74

A relaxed RbTa3B crystal, computed with PBE.

## Properties
E_tot in eV/atom: -4.638
Relative energy among the computed polymorphs in eV/atom: 2.7187
DOS at the Fermi energy in states/eV per atom: 1.06
E_form in eV per atom: 4.003
SG: Pm-3m, No. 221

a b c (Å): 4.7428 4.7428 4.7428
angles (deg): 90.00 90.00 90.00
Last column: nearest neighbours and their distance in Å.
Fractional positions:
B 0.5000 0.5000 0.5000  12 Ta 3.35
Rb 0.0000 0.0000 0.0000  6 Ta 2.37
Ta 0.0000 0.5000 0.0000  2 Rb 2.37
Ta 0.0000 0.0000 0.5000  2 Rb 2.37
Ta 0.5000 0.0000 0.0000  2 Rb 2.37

A relaxed RbTaB2 crystal, computed with PBE.

## Properties
E_tot in eV/atom: -5.362
Relative energy among the computed polymorphs in eV/atom: 0.0000
DOS at the Fermi energy in states/eV per atom: 0.45
E_form in eV per atom: 1.182
SG: I-42d, No. 122

a b c (Å): 6.8624 6.8624 6.5257
angles (deg): 58.28 58.28 90.00
Last column: nearest neighbours and their distance in Å.
Fractional positions:
B 0.7704 0.1250 0.2500  2 Ta 2.16
B 0.9796 0.6250 0.2500  2 Ta 2.16
B 0.3750 0.2296 0.7500  2 Ta 2.16
B 0.8750 0.0204 0.7500  2 Ta 2.16
Rb 0.5000 0.5000 0.0000  8 B 3.39-3.76
Rb 0.2500 0.7500 0.5000  8 B 3.39-3.76
Ta 0.0000 0.0000 0.0000  4 B 2.16
Ta 0.7500 0.2500 0.5000  4 B 2.16

A relaxed RbTa2B crystal, computed with PBE.

## Properties
E_tot in eV/atom: -6.364
DOS at the Fermi energy in states/eV per atom: 1.48
E_form in eV per atom: 1.473
SG: I4_1/amd, No. 141

a b c (Å): 6.8235 6.8235 6.8191
angles (deg): 59.98 59.98 90.00
Last column: nearest neighbours and their distance in Å.
Fractional positions:
B 0.5000 0.5000 0.0000  4 Ta 2.09
B 0.2500 0.7500 0.5000  4 Ta 2.09
Rb 0.0000 0.0000 0.0000  12 Ta 4.00, 4 B 4.18, 4 Rb 4.18
Rb 0.7500 0.2500 0.5000  12 Ta 4.00, 4 B 4.18, 4 Rb 4.18
Ta 0.3748 0.1250 0.2500  2 B 2.09
Ta 0.3752 0.6250 0.2500  2 B 2.09
Ta 0.3750 0.6252 0.7500  2 B 2.09
Ta 0.8750 0.6248 0.7500  2 B 2.09

A relaxed Rb3TaB crystal, computed with PBE.

## Properties
E_tot in eV/atom: -2.267
Relative energy among the computed polymorphs in eV/atom: 0.0000
DOS at the Fermi energy in states/eV per atom: 2.84
E_form in eV per atom: 2.019
SG: Pm-3m, No. 221

a b c (Å): 6.2061 6.2061 6.2061
angles (deg): 90.00 90.00 90.00
Last column: nearest neighbours and their distance in Å.
Fractional positions:
B 0.0000 0.0000 0.0000  6 Rb 3.10
Rb 0.0000 0.5000 0.0000  2 B 3.10
Rb 0.0000 0.0000 0.5000  2 B 3.10
Rb 0.5000 0.0000 0.0000  2 B 3.10
Ta 0.5000 0.5000 0.5000  12 Rb 4.39

A relaxed RbTaB3 crystal, computed with PBE.

## Properties
E_tot in eV/atom: -5.300
Relative energy among the computed polymorphs in eV/atom: 0.0000
DOS at the Fermi energy in states/eV per atom: 0.82
E_form in eV per atom: 1.270
SG: Pm-3m, No. 221

a b c (Å): 4.5281 4.5281 4.5281
angles (deg): 90.00 90.00 90.00
Last column: nearest neighbours and their distance in Å.
Fractional positions:
B 0.0000 0.5000 0.0000  2 Ta 2.26
B 0.0000 0.0000 0.5000  2 Ta 2.26
B 0.5000 0.0000 0.0000  2 Ta 2.26
Rb 0.5000 0.5000 0.5000  12 B 3.20
Ta 0.0000 0.0000 0.0000  6 B 2.26

A relaxed RbTaB3 crystal, computed with PBE.

## Properties
E_tot in eV/atom: -3.074
Relative energy among the computed polymorphs in eV/atom: 2.2265
DOS at the Fermi energy in states/eV per atom: 0.91
E_form in eV per atom: 3.497
SG: Pm-3m, No. 221

a b c (Å): 4.2144 4.2144 4.2144
angles (deg): 90.00 90.00 90.00
Last column: nearest neighbours and their distance in Å.
Fractional positions:
B 0.0000 0.5000 0.0000  2 Rb 2.11
B 0.0000 0.0000 0.5000  2 Rb 2.11
B 0.5000 0.0000 0.0000  2 Rb 2.11
Rb 0.0000 0.0000 0.0000  6 B 2.11
Ta 0.5000 0.5000 0.5000  12 B 2.98

A relaxed RbTcB3 crystal, computed with PBE.

## Properties
E_tot in eV/atom: -5.434
Relative energy among the computed polymorphs in eV/atom: 0.0000
DOS at the Fermi energy in states/eV per atom: 0.44
E_form in eV per atom: 0.839
SG: Pm-3m, No. 221

a b c (Å): 4.2907 4.2907 4.2907
angles (deg): 90.00 90.00 90.00
Last column: nearest neighbours and their distance in Å.
Fractional positions:
B 0.0000 0.5000 0.0000  2 Tc 2.15
B 0.0000 0.0000 0.5000  2 Tc 2.15
B 0.5000 0.0000 0.0000  2 Tc 2.15
Tc 0.0000 0.0000 0.0000  6 B 2.15
Rb 0.5000 0.5000 0.5000  12 B 3.03

A relaxed RbTcB3 crystal, computed with PBE.

## Properties
E_tot in eV/atom: -2.350
Relative energy among the computed polymorphs in eV/atom: 3.0836
DOS at the Fermi energy in states/eV per atom: 2.17
E_form in eV per atom: 3.923
SG: Pm-3m, No. 221

a b c (Å): 4.2552 4.2552 4.2552
angles (deg): 90.00 90.00 90.00
Last column: nearest neighbours and their distance in Å.
Fractional positions:
B 0.0000 0.5000 0.0000  2 Rb 2.13
B 0.0000 0.0000 0.5000  2 Rb 2.13
B 0.5000 0.0000 0.0000  2 Rb 2.13
Tc 0.5000 0.5000 0.5000  12 B 3.01
Rb 0.0000 0.0000 0.0000  6 B 2.13

A relaxed RbTc3B crystal, computed with PBE.

## Properties
E_tot in eV/atom: -6.439
Relative energy among the computed polymorphs in eV/atom: 0.0000
DOS at the Fermi energy in states/eV per atom: 0.99
E_form in eV per atom: 1.310
SG: Pm-3m, No. 221

a b c (Å): 4.3815 4.3815 4.3815
angles (deg): 90.00 90.00 90.00
Last column: nearest neighbours and their distance in Å.
Fractional positions:
B 0.0000 0.0000 0.0000  6 Tc 2.19
Tc 0.0000 0.5000 0.0000  2 B 2.19
Tc 0.0000 0.0000 0.5000  2 B 2.19
Tc 0.5000 0.0000 0.0000  2 B 2.19
Rb 0.5000 0.5000 0.5000  12 Tc 3.10

A relaxed RbTc3B crystal, computed with PBE.

## Properties
E_tot in eV/atom: -3.638
Relative energy among the computed polymorphs in eV/atom: 2.8005
DOS at the Fermi energy in states/eV per atom: 1.21
E_form in eV per atom: 4.111
SG: Pm-3m, No. 221

a b c (Å): 4.7040 4.7040 4.7040
angles (deg): 90.00 90.00 90.00
Last column: nearest neighbours and their distance in Å.
Fractional positions:
B 0.5000 0.5000 0.5000  12 Tc 3.33
Tc 0.0000 0.5000 0.0000  2 Rb 2.35
Tc 0.0000 0.0000 0.5000  2 Rb 2.35
Tc 0.5000 0.0000 0.0000  2 Rb 2.35
Rb 0.0000 0.0000 0.0000  6 Tc 2.35

A relaxed RbTc2B2 crystal, computed with PBE.

## Properties
E_tot in eV/atom: -6.628
Relative energy among the computed polymorphs in eV/atom: 0.0000
DOS at the Fermi energy in states/eV per atom: 1.04
E_form in eV per atom: 0.383
SG: I4/mmm, No. 139

a b c (Å): 4.1397 4.1397 7.0588
angles (deg): 72.95 72.95 90.00
Last column: nearest neighbours and their distance in Å.
Fractional positions:
B 0.7500 0.2500 0.5000  4 Tc 2.09
B 0.2500 0.7500 0.5000  4 Tc 2.09
Tc 0.2707 0.2707 0.4586  4 B 2.09
Tc 0.7293 0.7293 0.5414  4 B 2.09
Rb 0.0000 0.0000 0.0000  2 Tc 3.48, 8 B 3.82